[1]
! CuClF3 GGA-PBE optimized geometry; values from VASP
! Magnetization, μB/f.u.: 0.0
! VASP energy, eV per atom: -2.360
! ΔE_f (raw), eV per atom: -0.0483
! Fermi-level density of states, states/eV per atom: 0.437
&SYSTEM
  ibrav = 0, nat = 5, ntyp = 3
/
ATOMIC_SPECIES
F 19.00 F.upf
Cl 35.45 Cl.upf
Cu 63.55 Cu.upf
CELL_PARAMETERS angstrom
4.2934 0.0000 0.0000
0.0000 4.2934 0.0000
0.0000 0.0000 4.2934
ATOMIC_POSITIONS crystal
F 0.5000 0.0000 0.0000
F 0.0000 0.0000 0.5000
Cl 0.0000 0.0000 0.0000
F 0.0000 0.5000 0.0000
Cu 0.5000 0.5000 0.5000


[2]
! CuClF2 GGA-PBE optimized geometry; values from VASP
! Magnetization, μB/f.u.: 0.0
! VASP energy, eV per atom: -2.548
! ΔE_f (raw), eV per atom: -0.1262
! Fermi-level density of states, states/eV per atom: 2.059
&SYSTEM
  ibrav = 0, nat = 4, ntyp = 3
/
ATOMIC_SPECIES
F 19.00 F.upf
Cu 63.55 Cu.upf
Cl 35.45 Cl.upf
CELL_PARAMETERS angstrom
3.6494 -0.2003 1.9591
0.4324 1.7010 3.7571
0.4319 -2.4245 3.3364
ATOMIC_POSITIONS crystal
F 0.7500 0.7500 0.7500
Cu 0.5000 0.5000 0.5000
F 0.2500 0.2500 0.2500
Cl 0.0000 0.0000 0.0000


[3]
! CuClF GGA-PBE optimized geometry; values from VASP
! Magnetization, μB/f.u.: 1.0
! VASP energy, eV per atom: -3.193
! ΔE_f (raw), eV per atom: -0.5885
! Fermi-level density of states, states/eV per atom: 1.242
&SYSTEM
  ibrav = 0, nat = 3, ntyp = 3
/
ATOMIC_SPECIES
Cl 35.45 Cl.upf
F 19.00 F.upf
Cu 63.55 Cu.upf
CELL_PARAMETERS angstrom
-2.8505 3.0942 -0.3367
-2.4679 -1.9688 2.8011
4.1341 1.0617 1.2090
ATOMIC_POSITIONS crystal
Cl 0.9197 0.9197 0.8394
F 0.3301 0.3301 0.6602
Cu 0.6002 0.6002 0.2004


[4]
! CuClF GGA-PBE optimized geometry; values from VASP
! Magnetization, μB/f.u.: 1.0
! VASP energy, eV per atom: -3.588
! ΔE_f (raw), eV per atom: -0.9833
! Fermi-level density of states, states/eV per atom: 0.185
&SYSTEM
  ibrav = 0, nat = 6, ntyp = 3
/
ATOMIC_SPECIES
F 19.00 F.upf
Cu 63.55 Cu.upf
Cl 35.45 Cl.upf
CELL_PARAMETERS angstrom
3.1677 0.0000 0.0000
0.0000 4.5261 0.0000
0.0000 0.0000 7.9264
ATOMIC_POSITIONS crystal
F 0.0000 0.0000 0.4720
Cu 0.0000 0.5000 0.3644
F 0.5000 0.5000 0.5280
Cl 0.0000 0.0000 0.8338
Cl 0.5000 0.5000 0.1662
Cu 0.5000 0.0000 0.6356


[5]
! CuClF2 GGA-PBE optimized geometry; values from VASP
! Magnetization, μB/f.u.: 1.4
! VASP energy, eV per atom: -3.385
! ΔE_f (raw), eV per atom: -0.9633
! Fermi-level density of states, states/eV per atom: 0.201
&SYSTEM
  ibrav = 0, nat = 8, ntyp = 3
/
ATOMIC_SPECIES
Cu 63.55 Cu.upf
Cl 35.45 Cl.upf
F 19.00 F.upf
CELL_PARAMETERS angstrom
-0.7340 1.3024 2.3391
-2.3597 -5.4167 -1.0244
6.8928 -3.8133 4.2862
ATOMIC_POSITIONS crystal
Cu 0.7539 0.7496 0.7500
Cu 0.2461 0.2504 0.2500
Cl 0.7463 0.7506 0.2500
F 0.2538 0.7494 0.6050
Cl 0.2537 0.2494 0.7500
F 0.7462 0.2506 0.3950
F 0.7462 0.2506 0.1050
F 0.2538 0.7494 0.8950


[6]
! CuClF4 GGA-PBE optimized geometry; values from VASP
! Magnetization, μB/f.u.: 2.1
! VASP energy, eV per atom: -3.248
! ΔE_f (raw), eV per atom: -1.0097
! Fermi-level density of states, states/eV per atom: 0.155
&SYSTEM
  ibrav = 0, nat = 12, ntyp = 3
/
ATOMIC_SPECIES
Cl 35.45 Cl.upf
F 19.00 F.upf
Cu 63.55 Cu.upf
CELL_PARAMETERS angstrom
-5.1249 0.4404 -0.4329
-1.8475 -5.6102 1.2831
-1.3782 -1.2163 7.2307
ATOMIC_POSITIONS crystal
Cl 0.2487 0.3420 0.8095
F 0.8956 0.1301 0.5931
Cu 0.2496 0.9456 0.6067
F 0.8594 0.3517 0.1808
F 0.6036 0.7750 0.5929
F 0.1406 0.6483 0.8192
Cu 0.7504 0.0544 0.3933
F 0.3964 0.2250 0.4071
F 0.1044 0.8699 0.4069
F 0.3564 0.0255 0.8198
Cl 0.7513 0.6580 0.1905
F 0.6436 0.9745 0.1802


[7]
! CuClF3 GGA-PBE optimized geometry; values from VASP
! Magnetization, μB/f.u.: 2.3
! VASP energy, eV per atom: -3.031
! ΔE_f (raw), eV per atom: -0.7197
! Fermi-level density of states, states/eV per atom: 0.748
&SYSTEM
  ibrav = 0, nat = 5, ntyp = 3
/
ATOMIC_SPECIES
F 19.00 F.upf
Cl 35.45 Cl.upf
Cu 63.55 Cu.upf
CELL_PARAMETERS angstrom
3.9977 0.0000 0.0000
0.0000 3.9977 0.0000
0.0000 0.0000 3.9977
ATOMIC_POSITIONS crystal
F 0.0000 0.5000 0.0000
Cl 0.5000 0.5000 0.5000
F 0.5000 0.0000 0.0000
Cu 0.0000 0.0000 0.0000
F 0.0000 0.0000 0.5000


[8]
! CuClF3 GGA-PBE optimized geometry; values from VASP
! Magnetization, μB/f.u.: 0.0
! VASP energy, eV per atom: -3.146
! ΔE_f (raw), eV per atom: -0.8350
! Fermi-level density of states, states/eV per atom: 0.223
&SYSTEM
  ibrav = 0, nat = 10, ntyp = 3
/
ATOMIC_SPECIES
F 19.00 F.upf
Cu 63.55 Cu.upf
Cl 35.45 Cl.upf
CELL_PARAMETERS angstrom
4.9961 -0.0003 0.0001
-0.0013 5.9937 0.0013
0.0002 0.0034 4.9670
ATOMIC_POSITIONS crystal
F 0.4222 0.7981 0.9497
Cu 0.1690 0.6804 0.7007
F 0.4619 0.3924 0.2011
Cl 0.9029 0.0034 0.2004
F 0.9621 0.9602 0.7005
F 0.9221 0.5547 0.9518
F 0.4222 0.7981 0.4515
Cu 0.6689 0.6723 0.2007
Cl 0.4028 0.3493 0.7011
F 0.9221 0.5548 0.4501


[9]
! Cu5Cl3F12 GGA-PBE optimized geometry; values from VASP
! Magnetization, μB/f.u.: 10.1
! VASP energy, eV per atom: -3.322
! ΔE_f (raw), eV per atom: -0.8983
! Fermi-level density of states, states/eV per atom: 0.716
&SYSTEM
  ibrav = 0, nat = 80, ntyp = 3
/
ATOMIC_SPECIES
F 19.00 F.upf
Cl 35.45 Cl.upf
Cu 63.55 Cu.upf
CELL_PARAMETERS angstrom
11.4248 0.0000 0.0000
-3.8083 10.7714 0.0000
-3.8083 -5.3857 9.3283
ATOMIC_POSITIONS crystal
F 0.3162 0.3964 0.8144
F 0.0820 0.1856 0.5018
Cl 0.3750 0.7500 0.6250
Cu 0.8750 0.2500 0.6250
F 0.1036 0.9180 0.4198
F 0.9982 0.4180 0.8144
F 0.0802 0.6838 0.4982
F 0.5018 0.8162 0.9198
Cl 0.2500 0.1250 0.3750
F 0.8162 0.3144 0.8964
F 0.0802 0.3964 0.0820
F 0.3964 0.0802 0.5820
F 0.1856 0.1036 0.6838
F 0.8144 0.8964 0.3162
Cu 0.2500 0.8750 0.1250
F 0.4982 0.1838 0.0802
F 0.6838 0.0802 0.9982
F 0.6856 0.1838 0.6036
Cl 0.8750 0.7500 0.1250
Cu 0.5000 0.0000 0.5000
F 0.6036 0.6838 0.6856
F 0.5018 0.6856 0.0820
F 0.1856 0.0820 0.0018
F 0.5802 0.9982 0.1838
F 0.8964 0.0820 0.5802
F 0.9198 0.3162 0.5018
Cu 0.5000 0.0000 0.0000
Cl 0.6250 0.3750 0.7500
F 0.6036 0.9198 0.4180
F 0.0820 0.8964 0.0802
Cu 0.0000 0.5000 0.5000
Cu 0.1250 0.7500 0.3750
F 0.9180 0.1036 0.9198
F 0.6856 0.5018 0.5820
Cu 0.7500 0.6250 0.3750
F 0.8144 0.9180 0.9982
F 0.3964 0.3162 0.3144
Cu 0.3750 0.2500 0.1250
F 0.0018 0.4198 0.3162
F 0.3162 0.9198 0.0018
Cl 0.1250 0.2500 0.8750
Cu 0.5000 0.5000 0.0000
F 0.4198 0.4180 0.1036
F 0.8162 0.5018 0.4198
Cu 0.3750 0.1250 0.7500
Cl 0.7500 0.3750 0.1250
Cl 0.2500 0.6250 0.8750
Cu 0.6250 0.7500 0.8750
Cu 0.2500 0.3750 0.6250
Cu 0.1250 0.3750 0.2500
F 0.3144 0.4982 0.4180
F 0.5820 0.0018 0.6856
Cl 0.3750 0.6250 0.2500
F 0.0018 0.5820 0.1856
F 0.6838 0.6036 0.1856
F 0.1838 0.4982 0.5802
F 0.9982 0.5802 0.6838
Cl 0.8750 0.1250 0.2500
F 0.5820 0.5802 0.3964
Cl 0.6250 0.2500 0.3750
Cu 0.6250 0.8750 0.2500
F 0.4180 0.9982 0.3144
F 0.9198 0.6036 0.9180
Cu 0.0000 0.0000 0.5000
Cu 0.0000 0.0000 0.0000
Cu 0.0000 0.5000 0.0000
F 0.1036 0.1856 0.1838
F 0.3144 0.8162 0.3964
F 0.5802 0.5820 0.8964
F 0.9180 0.8144 0.4982
F 0.4198 0.0018 0.8162
F 0.8964 0.8144 0.8162
Cu 0.5000 0.5000 0.5000
Cu 0.8750 0.6250 0.7500
F 0.4180 0.4198 0.6036
Cl 0.1250 0.8750 0.7500
F 0.1838 0.6856 0.1036
Cu 0.7500 0.1250 0.8750
Cl 0.7500 0.8750 0.6250
F 0.4982 0.3144 0.9180


[10]
! Cu3ClF4 GGA-PBE optimized geometry; values from VASP
! Magnetization, μB/f.u.: 2.0
! VASP energy, eV per atom: -3.911
! ΔE_f (raw), eV per atom: -1.2087
! Fermi-level density of states, states/eV per atom: 0.479
&SYSTEM
  ibrav = 0, nat = 16, ntyp = 3
/
ATOMIC_SPECIES
F 19.00 F.upf
Cl 35.45 Cl.upf
Cu 63.55 Cu.upf
CELL_PARAMETERS angstrom
5.8001 0.0000 0.0000
-2.9001 5.1380 -1.8474
0.0000 0.0532 7.2674
ATOMIC_POSITIONS crystal
F 0.1321 0.6161 0.8286
Cl 0.6622 0.9778 0.7356
F 0.9933 0.7426 0.5288
Cu 0.2816 0.5887 0.0786
Cu 0.9645 0.8589 0.8169
F 0.4841 0.6161 0.3286
F 0.9987 0.2528 0.4390
Cl 0.3156 0.9778 0.2356
F 0.5632 0.3943 0.6383
F 0.7493 0.7426 0.0288
Cu 0.3070 0.5887 0.5786
F 0.2541 0.2528 0.9390
F 0.8311 0.3943 0.1383
Cu 0.6512 0.3485 0.8841
Cu 0.8944 0.8589 0.3169
Cu 0.6973 0.3485 0.3841


[11]
! CuClF2 GGA-PBE optimized geometry; values from VASP
! Magnetization, μB/f.u.: 0.8
! VASP energy, eV per atom: -3.119
! ΔE_f (raw), eV per atom: -0.6974
! Fermi-level density of states, states/eV per atom: 2.736
&SYSTEM
  ibrav = 0, nat = 8, ntyp = 3
/
ATOMIC_SPECIES
F 19.00 F.upf
Cl 35.45 Cl.upf
Cu 63.55 Cu.upf
CELL_PARAMETERS angstrom
5.9195 0.0000 0.0000
0.0000 5.9195 0.0000
2.9598 2.9598 4.5873
ATOMIC_POSITIONS crystal
F 0.3750 0.1251 0.7500
Cl 0.2500 0.7500 0.5000
F 0.8750 0.1249 0.7500
F 0.8749 0.1250 0.2500
F 0.8751 0.6250 0.2500
Cu 0.0000 0.0000 0.0000
Cu 0.7500 0.2500 0.5000
Cl 0.5000 0.5000 0.0000


[12]
! Cu3ClF5 GGA-PBE optimized geometry; values from VASP
! Magnetization, μB/f.u.: 2.3
! VASP energy, eV per atom: -3.907
! ΔE_f (raw), eV per atom: -1.2964
! Fermi-level density of states, states/eV per atom: 0.534
&SYSTEM
  ibrav = 0, nat = 18, ntyp = 3
/
ATOMIC_SPECIES
Cu 63.55 Cu.upf
F 19.00 F.upf
Cl 35.45 Cl.upf
CELL_PARAMETERS angstrom
-3.1577 4.6309 1.4406
-3.2986 -1.1095 4.6238
3.4160 3.4758 6.4192
ATOMIC_POSITIONS crystal
Cu 0.3595 0.3595 0.6946
F 0.2377 0.2377 0.9909
Cu 0.0000 0.0000 0.5000
F 0.5725 0.5725 0.6612
F 0.0522 0.6514 0.6730
F 0.3486 0.9478 0.3270
Cu 0.3310 0.3310 0.1633
F 0.7623 0.7623 0.0091
F 0.6514 0.0522 0.6730
Cl 0.8748 0.8748 0.3051
F 0.4275 0.4275 0.3388
Cu 0.0000 0.0000 0.0000
Cu 0.6690 0.6690 0.8367
Cu 0.6405 0.6405 0.3054
F 0.3009 0.6991 0.0000
F 0.6991 0.3009 0.0000
F 0.9478 0.3486 0.3270
Cl 0.1252 0.1252 0.6949


[13]
! CuClF10 GGA-PBE optimized geometry; values from VASP
! Magnetization, μB/f.u.: 0.8
! VASP energy, eV per atom: -2.741
! ΔE_f (raw), eV per atom: -0.6863
! Fermi-level density of states, states/eV per atom: 0.727
&SYSTEM
  ibrav = 0, nat = 24, ntyp = 3
/
ATOMIC_SPECIES
F 19.00 F.upf
Cu 63.55 Cu.upf
Cl 35.45 Cl.upf
CELL_PARAMETERS angstrom
-7.6524 -3.2302 -2.9553
2.1000 -4.5803 -0.4314
-1.7718 -2.5563 7.3820
ATOMIC_POSITIONS crystal
F 0.3658 0.2778 0.9620
F 0.1720 0.9910 0.8864
Cu 0.0000 0.0000 0.0000
F 0.8783 0.3585 0.3769
F 0.4393 0.7063 0.8325
Cl 0.0000 0.5000 0.5000
F 0.0607 0.7063 0.3325
F 0.1342 0.2778 0.4620
F 0.5624 0.7165 0.4131
F 0.6720 0.0090 0.6136
F 0.0624 0.2835 0.0869
F 0.3783 0.6415 0.1231
F 0.1217 0.6415 0.6231
F 0.8280 0.0090 0.1136
F 0.9393 0.2937 0.6675
F 0.8658 0.7222 0.5380
F 0.3280 0.9910 0.3864
Cu 0.5000 0.0000 0.5000
F 0.9376 0.7165 0.9131
F 0.6217 0.3585 0.8769
F 0.6342 0.7222 0.0380
Cl 0.5000 0.5000 0.0000
F 0.5607 0.2937 0.1675
F 0.4376 0.2835 0.5869


[14]
! CuClF GGA-PBE optimized geometry; values from VASP
! Magnetization, μB/f.u.: 1.0
! VASP energy, eV per atom: -3.486
! ΔE_f (raw), eV per atom: -0.8816
! Fermi-level density of states, states/eV per atom: 0.803
&SYSTEM
  ibrav = 0, nat = 3, ntyp = 3
/
ATOMIC_SPECIES
Cu 63.55 Cu.upf
Cl 35.45 Cl.upf
F 19.00 F.upf
CELL_PARAMETERS angstrom
-1.9398 -4.4303 1.9382
1.4623 0.6468 2.9419
-3.1059 1.0963 -0.6027
ATOMIC_POSITIONS crystal
Cu 0.0311 0.0000 0.0000
Cl 0.7655 0.6667 0.3333
F 0.2034 0.3333 0.6667


[15]
! CuClF2 GGA-PBE optimized geometry; values from VASP
! Magnetization, μB/f.u.: 1.0
! VASP energy, eV per atom: -3.502
! ΔE_f (raw), eV per atom: -1.0804
! Fermi-level density of states, states/eV per atom: 0.182
&SYSTEM
  ibrav = 0, nat = 8, ntyp = 3
/
ATOMIC_SPECIES
Cu 63.55 Cu.upf
Cl 35.45 Cl.upf
F 19.00 F.upf
CELL_PARAMETERS angstrom
-2.8689 -1.6114 -1.5096
3.9883 -1.6779 -3.1725
0.2096 -6.0874 5.1753
ATOMIC_POSITIONS crystal
Cu 0.2744 0.8431 0.5523
Cl 0.4326 0.4101 0.0649
Cu 0.7727 0.3434 0.5518
F 0.7046 0.0485 0.6736
F 0.2058 0.5457 0.6719
F 0.3428 0.1378 0.4303
Cl 0.6463 0.7751 0.0366
F 0.8423 0.6405 0.4320


[16]
! GaCu3Cl2F6 GGA-PBE optimized geometry; values from VASP
! Magnetization, μB/f.u.: 2.0
! VASP energy, eV per atom: -4.048
! ΔE_f (raw), eV per atom: -1.5279
! Fermi-level density of states, states/eV per atom: 0.590
&SYSTEM
  ibrav = 0, nat = 12, ntyp = 4
/
ATOMIC_SPECIES
Cu 63.55 Cu.upf
F 19.00 F.upf
Cl 35.45 Cl.upf
Ga 69.72 Ga.upf
CELL_PARAMETERS angstrom
-1.8257 -0.1960 -4.4665
-4.9956 -2.4874 2.1512
0.1291 6.6454 -0.3302
ATOMIC_POSITIONS crystal
Cu 0.5000 0.5000 0.5000
F 0.7363 0.8245 0.1140
F 0.6694 0.8481 0.6963
F 0.2637 0.1755 0.8860
Cl 0.8093 0.3151 0.6301
Ga 0.5000 0.0000 0.0000
F 0.7363 0.2895 0.1140
F 0.2637 0.7105 0.8860
Cl 0.1907 0.6849 0.3699
Cu 0.5000 0.0000 0.5000
Cu 0.0000 0.5000 0.0000
F 0.3306 0.1519 0.3037


[17]
! Cu2GeClF GGA-PBE optimized geometry; values from VASP
! Magnetization, μB/f.u.: 0.0
! VASP energy, eV per atom: -2.879
! ΔE_f (raw), eV per atom: 0.4266
! Fermi-level density of states, states/eV per atom: 0.673
&SYSTEM
  ibrav = 0, nat = 5, ntyp = 4
/
ATOMIC_SPECIES
Cl 35.45 Cl.upf
Ge 72.64 Ge.upf
Cu 63.55 Cu.upf
F 19.00 F.upf
CELL_PARAMETERS angstrom
-2.2809 -0.8711 -3.5680
0.9105 -4.2031 0.4441
-4.7784 -0.6945 3.2243
ATOMIC_POSITIONS crystal
Cl 0.0000 0.0000 0.0000
Ge 0.0000 0.0000 0.5000
Cu 0.5000 0.0000 0.0000
F 0.5000 0.5000 0.5000
Cu 0.0000 0.5000 0.0000


[18]
! Cu3GeCl2F6 GGA-PBE optimized geometry; values from VASP
! Magnetization, μB/f.u.: 1.0
! VASP energy, eV per atom: -4.160
! ΔE_f (raw), eV per atom: -1.5081
! Fermi-level density of states, states/eV per atom: 0.534
&SYSTEM
  ibrav = 0, nat = 12, ntyp = 4
/
ATOMIC_SPECIES
F 19.00 F.upf
Cl 35.45 Cl.upf
Cu 63.55 Cu.upf
Ge 72.64 Ge.upf
CELL_PARAMETERS angstrom
-1.8791 0.3600 4.3959
-3.8322 -4.7142 -1.2521
6.2219 -1.5662 2.2188
ATOMIC_POSITIONS crystal
F 0.3126 0.1286 0.2571
Cl 0.2004 0.6789 0.3578
F 0.2701 0.7258 0.8756
Cu 0.5000 0.0000 0.5000
F 0.7299 0.2742 0.1244
F 0.7299 0.8501 0.1244
Cu 0.5000 0.5000 0.5000
F 0.6874 0.8714 0.7429
Cl 0.7996 0.3211 0.6422
Ge 0.5000 0.0000 0.0000
F 0.2701 0.1499 0.8756
Cu 0.0000 0.5000 0.0000


[19]
! CuHgClF2 GGA-PBE optimized geometry; values from VASP
! Magnetization, μB/f.u.: 0.0
! VASP energy, eV per atom: -2.962
! ΔE_f (raw), eV per atom: -0.9643
! Fermi-level density of states, states/eV per atom: 0.417
&SYSTEM
  ibrav = 0, nat = 5, ntyp = 4
/
ATOMIC_SPECIES
F 19.00 F.upf
Cl 35.45 Cl.upf
Hg 200.59 Hg.upf
Cu 63.55 Cu.upf
CELL_PARAMETERS angstrom
3.8684 0.0000 0.0000
0.0000 3.8684 0.0000
0.0000 0.0000 5.9500
ATOMIC_POSITIONS crystal
F 0.5000 0.0000 0.0000
Cl 0.5000 0.5000 0.5000
Hg 0.0000 0.0000 0.5000
Cu 0.0000 0.0000 0.0000
F 0.0000 0.5000 0.0000


[20]
! KCuClF2 GGA-PBE optimized geometry; values from VASP
! Magnetization, μB/f.u.: 0.0
! VASP energy, eV per atom: -3.851
! ΔE_f (raw), eV per atom: -1.6942
! Fermi-level density of states, states/eV per atom: 0.244
&SYSTEM
  ibrav = 0, nat = 5, ntyp = 4
/
ATOMIC_SPECIES
K 39.10 K.upf
Cu 63.55 Cu.upf
F 19.00 F.upf
Cl 35.45 Cl.upf
CELL_PARAMETERS angstrom
4.1984 0.0000 0.0000
0.0000 4.1984 0.0000
0.0000 0.0000 4.6764
ATOMIC_POSITIONS crystal
K 0.5000 0.5000 0.5000
Cu 0.0000 0.0000 0.0000
F 0.0000 0.5000 0.0000
F 0.5000 0.0000 0.0000
Cl 0.0000 0.0000 0.5000